Entry 1:
# Ti2ZnC

A relaxed structure of Ti2ZnC (PBE, Alexandria via LeMat-Bulk).

Lattice parameters (Å, degrees): 4.158 4.158 4.158 60.00 60.00 60.00
Fractional coordinates of all 4 atoms:
C: 0.000 0.000 0.000
Ti: 0.250 0.250 0.250
Zn: 0.500 0.500 0.500
Ti: 0.750 0.750 0.750

- Calculated total energy: -0.22301 Ha/atom
- ΔE_f: 0.5036 eV/atom
- V: 50.8 Å³/f.u.
- Symmetry: Fm-3m, No. 225

***

Entry 2:
# Ti3ZnC

A relaxed structure of Ti3ZnC (PBE, Alexandria via LeMat-Bulk).

Lattice parameters (Å, degrees): 5.303 5.813 5.201 94.32 99.26 66.57
Fractional coordinates of all 10 atoms:
Ti: 0.638 0.729 0.125
Zn: 0.128 0.616 0.916
Ti: 0.056 0.365 0.449
C: 0.348 0.046 0.286
Ti: 0.624 0.960 0.637
Ti: 0.574 0.244 0.193
C: 0.844 0.161 0.558
Ti: 0.072 0.133 0.932
Ti: 0.130 0.846 0.398
Zn: 0.553 0.490 0.675

- Calculated total energy: -0.26402 Ha/atom
- Energy relative to the lowest polymorph listed for this composition: 140 meV per atom
- ΔE_f: -0.3480 eV/atom
- V: 72.6 Å³/f.u.
- Symmetry: P1, No. 1

***

Entry 3:
# Ti6ZnC4

A relaxed structure of Ti6ZnC4 (PBE, Alexandria via LeMat-Bulk).

Lattice parameters (Å, degrees): 3.125 5.411 16.378 90.00 90.00 106.78
Fractional coordinates of all 22 atoms:
Ti: 0.500 0.000 0.500
Ti: 0.034 0.067 0.148
C: 0.592 0.184 0.878
Ti: 0.774 0.547 0.077
Ti: 0.500 0.000 0.000
Ti: 0.034 0.067 0.352
C: 0.139 0.277 0.040
C: 0.861 0.723 0.540
Zn: 0.658 0.316 0.250
C: 0.139 0.277 0.460
Ti: 0.226 0.453 0.577
C: 0.592 0.184 0.622
Ti: 0.966 0.933 0.852
Ti: 0.774 0.547 0.423
Ti: 0.356 0.711 0.250
Zn: 0.342 0.684 0.750
Ti: 0.644 0.289 0.750
C: 0.408 0.816 0.378
C: 0.861 0.723 0.960
C: 0.408 0.816 0.122
Ti: 0.226 0.453 0.923
Ti: 0.966 0.933 0.648

- Calculated total energy: -0.31105 Ha/atom
- ΔE_f: -0.6880 eV/atom
- V: 132.6 Å³/f.u.
- Symmetry: Cmcm, No. 63

***

Entry 4:
# Ti4ZnC

A relaxed structure of Ti4ZnC (PBE, Alexandria via LeMat-Bulk).

Lattice parameters (Å, degrees): 4.837 6.321 7.346 115.82 90.00 90.00
Fractional coordinates of all 12 atoms:
Ti: 0.741 0.185 0.880
Ti: 0.259 0.815 0.120
Ti: 0.744 0.123 0.243
Ti: 0.241 0.315 0.120
Ti: 0.756 0.623 0.243
Zn: 0.500 0.000 0.500
Ti: 0.759 0.685 0.880
Ti: 0.256 0.877 0.757
C: 0.000 0.000 0.000
C: 0.500 0.500 0.000
Ti: 0.244 0.377 0.757
Zn: 0.000 0.500 0.500

- Calculated total energy: -0.26006 Ha/atom
- ΔE_f: -0.0636 eV/atom
- V: 101.1 Å³/f.u.
- Symmetry: P2_1/c, No. 14

***

Entry 5:
# Ti3ZnC

A relaxed structure of Ti3ZnC (PBE, Alexandria via LeMat-Bulk).

Lattice parameters (Å, degrees): 3.809 3.809 13.362 90.00 90.00 120.00
Fractional coordinates of all 10 atoms:
Zn: 0.333 0.667 0.750
C: 0.000 0.000 0.500
Ti: 0.000 0.000 0.750
C: 0.000 0.000 0.000
Ti: 0.000 0.000 0.250
Ti: 0.333 0.667 0.939
Zn: 0.667 0.333 0.250
Ti: 0.333 0.667 0.561
Ti: 0.667 0.333 0.439
Ti: 0.667 0.333 0.061

- Calculated total energy: -0.22770 Ha/atom
- Energy relative to the lowest polymorph listed for this composition: 1128 meV per atom
- ΔE_f: 0.6405 eV/atom
- V: 83.9 Å³/f.u.
- Symmetry: P6_3/mmc, No. 194

***

Entry 6:
# Ti6ZnC

A relaxed structure of Ti6ZnC (PBE, Alexandria via LeMat-Bulk).

Lattice parameters (Å, degrees): 5.092 5.094 5.094 80.09 99.89 80.07
Fractional coordinates of all 8 atoms:
Ti: 0.345 0.767 0.924
Ti: 0.655 0.233 0.076
Ti: 0.925 0.655 0.233
Zn: 0.500 0.500 0.500
Ti: 0.767 0.925 0.655
Ti: 0.075 0.345 0.767
C: 0.000 0.000 0.000
Ti: 0.233 0.075 0.345

- Calculated total energy: -0.27372 Ha/atom
- ΔE_f: -0.2149 eV/atom
- V: 125.4 Å³/f.u.
- Symmetry: R-3, No. 148

***

Entry 7:
# Ti3ZnC

A relaxed structure of Ti3ZnC (PBE, Alexandria via LeMat-Bulk).

Lattice parameters (Å, degrees): 4.791 5.986 5.019 90.00 88.59 90.00
Fractional coordinates of all 10 atoms:
Ti: 0.258 0.499 0.831
Ti: 0.235 0.750 0.346
Ti: 0.742 0.999 0.169
Ti: 0.765 0.250 0.654
Zn: 0.764 0.750 0.667
C: 0.492 0.750 0.007
Ti: 0.742 0.501 0.169
C: 0.508 0.250 0.993
Zn: 0.236 0.250 0.333
Ti: 0.258 0.001 0.831

- Calculated total energy: -0.26124 Ha/atom
- Energy relative to the lowest polymorph listed for this composition: 216 meV per atom
- ΔE_f: -0.2720 eV/atom
- V: 72.0 Å³/f.u.
- Symmetry: P2_1/m, No. 11

***

Entry 8:
# Ti7Zn2C2

A relaxed structure of Ti7Zn2C2 (PBE, Alexandria via LeMat-Bulk).

Lattice parameters (Å, degrees): 5.421 5.689 5.421 90.00 105.61 90.00
Each line ends with the local moment (μB).
Fractional coordinates of all 11 atoms:
C: 0.731 0.000 0.269  0.00
Ti: 0.000 0.000 0.000  -0.02
Ti: 0.500 0.767 0.500  0.15
Zn: 0.825 0.500 0.825  0.00
Ti: 0.500 0.239 0.000  -0.01
Ti: 0.000 0.239 0.500  -0.01
Ti: 0.500 0.761 0.000  -0.01
Zn: 0.175 0.500 0.175  0.00
Ti: 0.500 0.233 0.500  0.15
Ti: 0.000 0.761 0.500  -0.01
C: 0.269 0.000 0.731  0.00

- Calculated total energy: -0.26226 Ha/atom
- ΔE_f: -0.2037 eV/atom
- V: 161.0 Å³/f.u.
- Symmetry: Cmmm, No. 65

***

Entry 9:
# Ti3ZnC

A relaxed structure of Ti3ZnC (PBE, Alexandria via LeMat-Bulk).

Lattice parameters (Å, degrees): 6.566 6.566 3.962 90.00 90.00 106.80
Each line ends with the local moment (μB).
Fractional coordinates of all 10 atoms:
Ti: 0.433 0.243 0.250  0.12
Ti: 0.757 0.567 0.250  0.13
Ti: 0.000 0.000 0.500  -0.01
C: 0.582 0.418 0.750  -0.01
Zn: 0.231 0.769 0.250  0.00
Ti: 0.567 0.757 0.750  0.12
Zn: 0.769 0.231 0.750  0.00
Ti: 0.243 0.433 0.750  0.13
C: 0.418 0.582 0.250  -0.01
Ti: 0.000 0.000 0.000  -0.01

- Calculated total energy: -0.23395 Ha/atom
- Energy relative to the lowest polymorph listed for this composition: 958 meV per atom
- ΔE_f: 0.4704 eV/atom
- V: 81.8 Å³/f.u.
- Symmetry: Cmcm, No. 63

***

Entry 10:
# Ti3ZnC

A relaxed structure of Ti3ZnC (PBE, Alexandria via LeMat-Bulk).

Lattice parameters (Å, degrees): 5.878 5.878 5.109 74.61 74.61 59.86
Fractional coordinates of all 10 atoms:
C: 0.253 0.109 0.548
Ti: 0.620 0.982 0.285
Ti: 0.884 0.238 0.807
Ti: 0.382 0.238 0.788
C: 0.507 0.363 0.046
Ti: 0.126 0.475 0.285
Ti: 0.121 0.977 0.316
Zn: 0.626 0.481 0.320
Ti: 0.382 0.740 0.807
Zn: 0.885 0.740 0.775

- Calculated total energy: -0.26450 Ha/atom
- Energy relative to the lowest polymorph listed for this composition: 127 meV per atom
- ΔE_f: -0.3610 eV/atom
- V: 72.6 Å³/f.u.
- Symmetry: Cm, No. 8

***

Entry 11:
# Ti3ZnC

A relaxed structure of Ti3ZnC (PBE, Alexandria via LeMat-Bulk).

Lattice parameters (Å, degrees): 20.502 4.654 7.989 90.00 159.04 90.00
Fractional coordinates of all 20 atoms:
Ti: 0.662 0.750 0.662
Zn: 0.938 0.750 0.938
Ti: 0.439 0.250 0.939
C: 0.900 0.750 0.400
C: 0.600 0.250 0.100
Ti: 0.939 0.250 0.439
Ti: 0.250 0.500 0.750
Ti: 0.750 0.500 0.250
Zn: 0.438 0.750 0.438
Ti: 0.838 0.250 0.838
Ti: 0.162 0.750 0.162
Ti: 0.061 0.750 0.561
Ti: 0.250 0.000 0.750
Ti: 0.338 0.250 0.338
Zn: 0.062 0.250 0.062
Ti: 0.750 0.000 0.250
Zn: 0.562 0.250 0.562
C: 0.400 0.750 0.900
C: 0.100 0.250 0.600
Ti: 0.561 0.750 0.061

- Calculated total energy: -0.26226 Ha/atom
- Energy relative to the lowest polymorph listed for this composition: 188 meV per atom
- ΔE_f: -0.3000 eV/atom
- V: 68.2 Å³/f.u.
- Symmetry: Pmma, No. 51

***

Entry 12:
# Ti3ZnC

A relaxed structure of Ti3ZnC (PBE, Alexandria via LeMat-Bulk).

Lattice parameters (Å, degrees): 5.257 5.257 5.257 92.03 92.03 92.03
Fractional coordinates of all 10 atoms:
Ti: 0.487 0.750 0.013
Ti: 0.013 0.487 0.750
Ti: 0.513 0.250 0.987
Zn: 0.000 0.000 0.000
Ti: 0.750 0.013 0.487
C: 0.250 0.250 0.250
Ti: 0.250 0.987 0.513
Ti: 0.987 0.513 0.250
Zn: 0.500 0.500 0.500
C: 0.750 0.750 0.750

- Calculated total energy: -0.24847 Ha/atom
- Energy relative to the lowest polymorph listed for this composition: 563 meV per atom
- ΔE_f: 0.0752 eV/atom
- V: 72.5 Å³/f.u.
- Symmetry: R-3c, No. 167